First-principles (PBE) data for a relaxed structure of Tb6GeS4, as listed in Alexandria via LeMat-Bulk.

Results
VASP energy = -6.10 eV per atom
Energy relative to the elements, uncorrected = -1.650 eV/atom

a b c (Å): 3.9755 12.8438 19.9297
angles (deg): 90.00 90.00 90.00
Closest atoms and distances in Å follow each position.
Space group Cmcm (No. 63)
Unique sites:
Tb (0.0000, 0.0000, 0.0000)  6 S 2.74-2.78
Tb (0.0000, 0.1711, 0.2500)  2 S 2.71, 2 Ge 2.90
Tb (0.0000, 0.2733, 0.5849)  5 S 2.74-2.79
Tb (0.0000, 0.4510, 0.1645)  3 S 2.73-2.79, 2 Ge 3.01
Ge (0.0000, 0.1645, 0.7500)  6 Tb 2.90-3.01
S (0.0000, 0.0904, 0.1246)  6 Tb 2.71-2.79
S (0.0000, 0.3623, 0.0402)  6 Tb 2.73-2.79

---

First-principles (PBE) data for a relaxed structure of Tb6GeS5, as listed in Alexandria via LeMat-Bulk.

Results
VASP energy = -6.28 eV per atom
Energy relative to the elements, uncorrected = -1.859 eV/atom

a b c (Å): 6.8789 11.9073 6.9003
angles (deg): 90.00 109.31 90.00
Closest atoms and distances in Å follow each position.
Space group C2/m (No. 12)
Unique sites:
Tb (0.2492, 0.0000, 0.2492)  5 S 2.81, 1 Ge 2.81
Tb (0.2500, 0.1668, 0.7496)  5 S 2.81-2.82, 1 Ge 2.81
Ge (0.0000, 0.5000, 0.0000)  6 Tb 2.81
S (0.0000, 0.0000, 0.5000)  6 Tb 2.81
S (0.0000, 0.1671, 0.0000)  6 Tb 2.81
S (0.0000, 0.3341, 0.5000)  6 Tb 2.81-2.82